(1)
## LuSi2W (PBE-GGA)

Data for a relaxed structure of LuSi2W.

a b c (Å): 5.305 5.305 5.305
angles (deg): 46.38 46.38 46.38
Fractional coordinates of all 4 atoms:
Lu (0.000, 0.000, 0.000)
Si (0.221, 0.221, 0.221)
Si (0.779, 0.779, 0.779)
W (0.500, 0.500, 0.500)

Output
As for the formation energy (no corrections): -0.225 eV per atom. Its density of states at the Fermi level is 0.88 states/eV per atom.

***

(2)
## YLuSi (PBE-GGA)

Data for a relaxed structure of YLuSi.

a b c (Å): 4.790 4.790 4.790
angles (deg): 60.00 60.00 60.00
Fractional coordinates of all 3 atoms:
Y (0.000, 0.000, 0.000)
Lu (0.500, 0.500, 0.500)
Si (0.250, 0.250, 0.250)

Output
As for the formation energy (no corrections): -0.462 eV per atom. Its density of states at the Fermi level is 0.92 states/eV per atom.

***

(3)
## YLuZnSi (PBE-GGA)

Data for a relaxed structure of YLuZnSi.

a b c (Å): 4.927 4.927 4.927
angles (deg): 60.00 60.00 60.00
Fractional coordinates of all 4 atoms:
Y (0.000, 0.000, 0.000)
Lu (0.500, 0.500, 0.500)
Zn (0.750, 0.750, 0.750)
Si (0.250, 0.250, 0.250)

Output
As for the formation energy (no corrections): -0.450 eV per atom. Its density of states at the Fermi level is 0.40 states/eV per atom.

***

Repeat the third record exactly.
## YLuZnSi (PBE-GGA)

Data for a relaxed structure of YLuZnSi.

a b c (Å): 4.927 4.927 4.927
angles (deg): 60.00 60.00 60.00
Fractional coordinates of all 4 atoms:
Y (0.000, 0.000, 0.000)
Lu (0.500, 0.500, 0.500)
Zn (0.750, 0.750, 0.750)
Si (0.250, 0.250, 0.250)

Output
As for the formation energy (no corrections): -0.450 eV per atom. Its density of states at the Fermi level is 0.40 states/eV per atom.